Entry 1:
VASP calculation (PBE) on crystalline K2HgPdS at its relaxed geometry.

## Properties
**Formation energy (no corrections)**: -494 meV per atom
**Total magnetic moment**: 0.0 μB per formula unit

Geometry as CIF:
```
data_K2HgPdS
_chemical_formula_sum 'K2 Hg1 Pd1 S1'
_cell_length_a 6.114
_cell_length_b 6.114
_cell_length_c 4.540
_cell_angle_alpha 90.00
_cell_angle_beta 90.00
_cell_angle_gamma 90.00
_space_group_name_H-M_alt 'P 4/m m m'
_space_group_IT_number 123
_space_group_name_Hall '-P 4 2'
loop_
_atom_site_label
_atom_site_type_symbol
_atom_site_fract_x
_atom_site_fract_y
_atom_site_fract_z
K1 K 0.000 0.500 0.000
Hg1 Hg 0.000 0.000 0.500
Pd1 Pd 0.500 0.500 0.500
S1 S 0.500 0.500 0.000
```

Entry 2:
VASP calculation (PBE) on crystalline KHgPd4S2 at its relaxed geometry.

## Properties
**Formation energy (no corrections)**: -349 meV per atom
**Total magnetic moment**: 0.0 μB per formula unit

Geometry as CIF:
```
data_KHgPd4S2
_chemical_formula_sum 'K1 Hg1 Pd4 S2'
_cell_length_a 4.384
_cell_length_b 4.384
_cell_length_c 9.143
_cell_angle_alpha 90.00
_cell_angle_beta 90.00
_cell_angle_gamma 90.00
_space_group_name_H-M_alt 'P 4/m m m'
_space_group_IT_number 123
_space_group_name_Hall '-P 4 2'
loop_
_atom_site_label
_atom_site_type_symbol
_atom_site_fract_x
_atom_site_fract_y
_atom_site_fract_z
K1 K 0.000 0.000 0.000
Hg1 Hg 0.000 0.000 0.500
Pd1 Pd 0.000 0.500 0.305
S1 S 0.500 0.500 0.220
```

Entry 3:
VASP calculation (PBE) on crystalline K2HgSb2Pd at its relaxed geometry.

## Properties
**Formation energy (no corrections)**: -336 meV per atom
**Total magnetic moment**: 0.0 μB per formula unit

Geometry as CIF:
```
data_K2HgSb2Pd
_chemical_formula_sum 'K8 Hg4 Sb8 Pd4'
_cell_length_a 6.954
_cell_length_b 15.823
_cell_length_c 6.845
_cell_angle_alpha 90.00
_cell_angle_beta 90.00
_cell_angle_gamma 90.00
_space_group_name_H-M_alt 'I b a m'
_space_group_IT_number 72
_space_group_name_Hall '-I 2 2c'
loop_
_atom_site_label
_atom_site_type_symbol
_atom_site_fract_x
_atom_site_fract_y
_atom_site_fract_z
K1 K 0.234 0.167 0.000
Hg1 Hg 0.000 0.000 0.250
Sb1 Sb 0.217 0.407 0.000
Pd1 Pd 0.000 0.500 0.250
```

Entry 4:
VASP calculation (PBE) on crystalline KHgSbPd2 at its relaxed geometry.

## Properties
**Formation energy (no corrections)**: -272 meV per atom
**Total magnetic moment**: 0.0 μB per formula unit

Geometry as CIF:
```
data_KHgSbPd2
_chemical_formula_sum 'K2 Hg2 Sb2 Pd4'
_cell_length_a 6.536
_cell_length_b 4.639
_cell_length_c 10.158
_cell_angle_alpha 90.00
_cell_angle_beta 105.74
_cell_angle_gamma 90.00
_space_group_name_H-M_alt 'P 1 21/m 1'
_space_group_IT_number 11
loop_
_space_group_symop_operation_xyz
'x,y,z'
'-x,-y,-z'
'-x,y+1/2,-z'
'x,-y+1/2,z'
loop_
_atom_site_label
_atom_site_type_symbol
_atom_site_fract_x
_atom_site_fract_y
_atom_site_fract_z
K1 K 0.075 0.250 0.258
Hg1 Hg 0.370 0.750 0.060
Sb1 Sb 0.312 0.750 0.536
Pd1 Pd 0.450 0.750 0.806
Pd2 Pd 0.463 0.250 0.647
```

Entry 5:
VASP calculation (PBE) on crystalline KHgPdSe2 at its relaxed geometry.

## Properties
**Formation energy (no corrections)**: -450 meV per atom
**Total magnetic moment**: 0.0 μB per formula unit

Geometry as CIF:
```
data_KHgPdSe2
_chemical_formula_sum 'K2 Hg2 Pd2 Se4'
_cell_length_a 7.191
_cell_length_b 4.698
_cell_length_c 7.824
_cell_angle_alpha 90.00
_cell_angle_beta 94.10
_cell_angle_gamma 90.00
_space_group_name_H-M_alt 'P 1 2/c 1'
_space_group_IT_number 13
loop_
_space_group_symop_operation_xyz
'x,y,z'
'-x,-y,-z'
'-x,y,-z+1/2'
'x,-y,z+1/2'
loop_
_atom_site_label
_atom_site_type_symbol
_atom_site_fract_x
_atom_site_fract_y
_atom_site_fract_z
K1 K 0.000 0.062 0.250
Hg1 Hg 0.500 0.000 0.000
Pd1 Pd 0.500 0.498 0.750
Se1 Se 0.258 0.412 0.985
```

Entry 6:
VASP calculation (PBE) on crystalline KHgPd4Se2 at its relaxed geometry.

## Properties
**Formation energy (no corrections)**: -327 meV per atom
**Total magnetic moment**: 0.0 μB per formula unit

Geometry as CIF:
```
data_KHgPd4Se2
_chemical_formula_sum 'K1 Hg1 Pd4 Se2'
_cell_length_a 4.198
_cell_length_b 4.198
_cell_length_c 10.172
_cell_angle_alpha 90.00
_cell_angle_beta 90.00
_cell_angle_gamma 90.00
_space_group_name_H-M_alt 'P 4/m m m'
_space_group_IT_number 123
_space_group_name_Hall '-P 4 2'
loop_
_atom_site_label
_atom_site_type_symbol
_atom_site_fract_x
_atom_site_fract_y
_atom_site_fract_z
K1 K 0.000 0.000 0.000
Hg1 Hg 0.000 0.000 0.500
Pd1 Pd 0.000 0.500 0.310
Se1 Se 0.500 0.500 0.182
```

Entry 7:
VASP calculation (PBE) on crystalline KHg2PdSe at its relaxed geometry.

## Properties
**Formation energy (no corrections)**: -338 meV per atom
**Total magnetic moment**: 0.0 μB per formula unit

Geometry as CIF:
```
data_KHg2PdSe
_chemical_formula_sum 'K1 Hg2 Pd1 Se1'
_cell_length_a 5.314
_cell_length_b 5.314
_cell_length_c 5.215
_cell_angle_alpha 90.00
_cell_angle_beta 90.00
_cell_angle_gamma 90.00
_space_group_name_H-M_alt 'P 4/m m m'
_space_group_IT_number 123
_space_group_name_Hall '-P 4 2'
loop_
_atom_site_label
_atom_site_type_symbol
_atom_site_fract_x
_atom_site_fract_y
_atom_site_fract_z
K1 K 0.000 0.000 0.000
Hg1 Hg 0.000 0.500 0.500
Pd1 Pd 0.500 0.500 0.500
Se1 Se 0.500 0.500 0.000
```

Entry 8:
VASP calculation (PBE) on crystalline K2SrHgPd at its relaxed geometry.

## Properties
**Total magnetic moment**: 0.0 μB per formula unit
**Energy of formation from the pure elements**: 0.3 eV per formula unit

Geometry as CIF:
```
data_K2SrHgPd
_chemical_formula_sum 'K2 Sr1 Hg1 Pd1'
_cell_length_a 6.157
_cell_length_b 6.157
_cell_length_c 5.440
_cell_angle_alpha 90.00
_cell_angle_beta 90.00
_cell_angle_gamma 90.00
_space_group_name_H-M_alt 'P 4/m m m'
_space_group_IT_number 123
_space_group_name_Hall '-P 4 2'
loop_
_atom_site_label
_atom_site_type_symbol
_atom_site_fract_x
_atom_site_fract_y
_atom_site_fract_z
K1 K 0.000 0.500 0.000
Sr1 Sr 0.000 0.000 0.500
Hg1 Hg 0.500 0.500 0.500
Pd1 Pd 0.500 0.500 0.000
```

Entry 9:
VASP calculation (PBE) on crystalline KSrHg2Pd at its relaxed geometry.

## Properties
**Total magnetic moment**: 0.0 μB per formula unit
**Energy of formation from the pure elements**: -1.4 eV per formula unit

Geometry as CIF:
```
data_KSrHg2Pd
_chemical_formula_sum 'K1 Sr1 Hg2 Pd1'
_cell_length_a 5.514
_cell_length_b 5.514
_cell_length_c 5.515
_cell_angle_alpha 90.00
_cell_angle_beta 90.00
_cell_angle_gamma 90.00
_space_group_name_H-M_alt 'P 4/m m m'
_space_group_IT_number 123
_space_group_name_Hall '-P 4 2'
loop_
_atom_site_label
_atom_site_type_symbol
_atom_site_fract_x
_atom_site_fract_y
_atom_site_fract_z
K1 K 0.000 0.000 0.000
Sr1 Sr 0.500 0.500 0.000
Hg1 Hg 0.000 0.500 0.500
Pd1 Pd 0.500 0.500 0.500
```

Entry 10:
VASP calculation (PBE) on crystalline KSr2HgPd at its relaxed geometry.

## Properties
**Total magnetic moment**: 0.0 μB per formula unit
**Energy of formation from the pure elements**: -1.3 eV per formula unit

Geometry as CIF:
```
data_KSr2HgPd
_chemical_formula_sum 'K1 Sr2 Hg1 Pd1'
_cell_length_a 5.949
_cell_length_b 5.949
_cell_length_c 5.512
_cell_angle_alpha 90.00
_cell_angle_beta 90.00
_cell_angle_gamma 90.00
_space_group_name_H-M_alt 'P 4/m m m'
_space_group_IT_number 123
_space_group_name_Hall '-P 4 2'
loop_
_atom_site_label
_atom_site_type_symbol
_atom_site_fract_x
_atom_site_fract_y
_atom_site_fract_z
K1 K 0.000 0.000 0.000
Sr1 Sr 0.000 0.500 0.500
Hg1 Hg 0.500 0.500 0.000
Pd1 Pd 0.500 0.500 0.500
```

Entry 11:
VASP calculation (PBE) on crystalline K2Tl6HgPd at its relaxed geometry.

## Properties
**Total magnetic moment**: 0.0 μB per formula unit
**Energy of formation from the pure elements**: -0.4 eV per formula unit

Geometry as CIF:
```
data_K2Tl6HgPd
_chemical_formula_sum 'K12 Tl36 Hg6 Pd6'
_cell_length_a 7.7121
_cell_length_b 7.7121
_cell_length_c 39.9235
_cell_angle_alpha 90.00
_cell_angle_beta 90.00
_cell_angle_gamma 120.00
_space_group_name_H-M_alt 'R -3 m'
_space_group_IT_number 166
_space_group_name_Hall '-R 3 2"'
loop_
_atom_site_label
_atom_site_type_symbol
_atom_site_fract_x
_atom_site_fract_y
_atom_site_fract_z
K1 K 0.0000 0.0000 0.1404
K2 K 0.0000 0.0000 0.3127
Tl1 Tl 0.0433 0.5216 0.8837
Tl2 Tl 0.0487 0.5243 0.7255
Hg1 Hg 0.0000 0.0000 0.0000
Hg2 Hg 0.0000 0.0000 0.5000
Pd1 Pd 0.0000 0.0000 0.4152
```

Entry 12:
VASP calculation (PBE) on crystalline KTl2Hg7Pd2 at its relaxed geometry.

## Properties
**Total magnetic moment**: 0.0 μB per formula unit
**Energy of formation from the pure elements**: -1.2 eV per formula unit

Geometry as CIF:
```
data_KTl2Hg7Pd2
_chemical_formula_sum 'K2 Tl4 Hg14 Pd4'
_cell_length_a 6.973
_cell_length_b 8.134
_cell_length_c 12.656
_cell_angle_alpha 90.00
_cell_angle_beta 101.38
_cell_angle_gamma 90.00
_space_group_name_H-M_alt 'C 1 2/m 1'
_space_group_IT_number 12
loop_
_space_group_symop_operation_xyz
'x,y,z'
'-x,-y,-z'
'-x,y,-z'
'x,-y,z'
'x+1/2,y+1/2,z'
'-x+1/2,-y+1/2,-z'
'-x+1/2,y+1/2,-z'
'x+1/2,-y+1/2,z'
loop_
_atom_site_label
_atom_site_type_symbol
_atom_site_fract_x
_atom_site_fract_y
_atom_site_fract_z
K1 K 0.000 0.000 0.000
Tl1 Tl 0.069 0.000 0.362
Hg1 Hg 0.000 0.500 0.000
Hg2 Hg 0.124 0.500 0.421
Hg3 Hg 0.129 0.296 0.796
Pd1 Pd 0.190 0.500 0.211
```